[1]
Density functional theory data (PBE-GGA) for a relaxed ScSb crystal.

abc: 8.0743 8.0743 8.0743
angles: 90.00 90.00 90.00
Atoms (fractional coordinates):
Sc 0.5000 0.7500 0.0000
Sc 0.5000 0.2500 0.0000
Sc 0.7500 0.0000 0.5000
Sc 0.0000 0.5000 0.2500
Sc 0.2500 0.0000 0.5000
Sc 0.0000 0.5000 0.7500
Sb 0.0000 0.7500 0.5000
Sb 0.0000 0.2500 0.5000
Sb 0.5000 0.0000 0.2500
Sb 0.5000 0.0000 0.7500
Sb 0.2500 0.5000 0.0000
Sb 0.7500 0.5000 0.0000

Properties
**Total magnetic moment**: 0.0000 μB per atom
**ρ**: 3.16 g/cm3
**Raw formation energy**: -0.40 eV per atom

[2]
Density functional theory data (PBE-GGA) for a relaxed ScSb crystal.

abc: 3.5656 3.5656 3.9175
angles: 90.00 90.00 105.20
Atoms (fractional coordinates):
Sb 0.0000 0.0000 0.0000
Sc 0.5000 0.5000 0.5000

Properties
**Total magnetic moment**: 0.0000 μB per atom
**ρ**: 5.76 g/cm3
**Raw formation energy**: -0.71 eV per atom

[3]
Density functional theory data (PBE-GGA) for a relaxed ScSb crystal.

abc: 4.1050 4.1050 3.6411
angles: 90.00 90.00 120.00
Atoms (fractional coordinates):
Sc 0.6667 0.3333 0.5000
Sb 0.0000 0.0000 0.0000

Properties
**Total magnetic moment**: 0.0000 μB per atom
**ρ**: 5.21 g/cm3
**Raw formation energy**: -0.73 eV per atom

[4]
Density functional theory data (PBE-GGA) for a relaxed Sc3SbSe crystal.

abc: 4.0386 8.9922 8.5677
angles: 57.99 76.37 77.02
Atoms (fractional coordinates):
Sc 0.7352 0.3521 0.1776
Sc 0.0546 0.6568 0.2340
Sc 0.3255 0.9985 0.3506
Sc 0.9454 0.3432 0.7660
Sc 0.6745 0.0015 0.6494
Sc 0.2648 0.6479 0.8224
Sb 0.8706 0.7250 0.5338
Sb 0.1294 0.2750 0.4662
Se 0.3585 0.2865 0.9965
Se 0.6415 0.7135 0.0035

Properties
**Total magnetic moment**: 0.0000 μB per atom
**ρ**: 4.38 g/cm3
**E above lowest polymorph**: 0.35 eV/f.u.
**Raw formation energy**: -0.91 eV per atom

[5]
Density functional theory data (PBE-GGA) for a relaxed ScSb2Se crystal.

abc: 7.5444 7.5444 7.5444
angles: 151.99 148.68 42.51
Atoms (fractional coordinates):
Sb 0.9528 0.9528 0.0000
Sb 0.5472 0.5472 0.0000
Sc 0.7500 0.2500 0.5000
Se 0.2500 0.7500 0.5000

Properties
**Total magnetic moment**: 0.0000 μB per atom
**ρ**: 5.84 g/cm3
**Raw formation energy**: -0.57 eV per atom

[6]
Density functional theory data (PBE-GGA) for a relaxed Sc5SbSe4 crystal.

abc: 3.9264 5.5701 10.4295
angles: 105.49 100.85 90.00
Atoms (fractional coordinates):
Sc 0.6071 0.1071 0.2141
Sc 0.3929 0.8929 0.7859
Sc 0.8012 0.3012 0.6024
Sc 0.0000 0.5000 0.0000
Sc 0.1988 0.6988 0.3976
Sb 0.0000 0.0000 0.0000
Se 0.2036 0.2036 0.4072
Se 0.7964 0.7964 0.5928
Se 0.6008 0.6008 0.2016
Se 0.3992 0.3992 0.7984

Properties
**Total magnetic moment**: 0.0000 μB per atom
**ρ**: 5.10 g/cm3
**Raw formation energy**: -1.46 eV per atom

[7]
Density functional theory data (PBE-GGA) for a relaxed ScSb2Se crystal.

abc: 4.1020 4.1037 5.9906
angles: 90.00 90.00 90.00
Atoms (fractional coordinates):
Sb 0.5000 0.5000 0.0000
Sb 0.0000 0.0000 0.0000
Sc 0.5000 0.0000 0.5000
Se 0.0000 0.5000 0.5000

Properties
**Total magnetic moment**: 0.0000 μB per atom
**ρ**: 6.05 g/cm3
**Raw formation energy**: -0.39 eV per atom

[8]
Density functional theory data (PBE-GGA) for a relaxed Sc4Sb3Se crystal.

abc: 4.0954 7.0903 7.0903
angles: 109.37 90.00 90.00
Atoms (fractional coordinates):
Sb 0.5000 0.5000 0.5000
Sb 0.0000 0.0000 0.5000
Sb 0.0000 0.5000 0.0000
Sc 0.0000 0.7571 0.7571
Sc 0.0000 0.2429 0.2429
Sc 0.5000 0.7544 0.2456
Sc 0.5000 0.2456 0.7544
Se 0.5000 0.0000 0.0000

Properties
**Total magnetic moment**: 0.0000 μB per atom
**ρ**: 5.34 g/cm3
**Raw formation energy**: -1.11 eV per atom

[9]
Density functional theory data (PBE-GGA) for a relaxed Sc6SbSe3 crystal.

abc: 3.8612 11.2490 11.4893
angles: 115.91 90.00 90.00
Atoms (fractional coordinates):
Se 0.2500 0.2768 0.5216
Se 0.2500 0.5254 0.1623
Se 0.2500 0.8261 0.9042
Se 0.7500 0.4746 0.8377
Se 0.7500 0.1739 0.0958
Se 0.7500 0.7232 0.4784
Sc 0.2500 0.2838 0.7513
Sc 0.2500 0.2034 0.2704
Sc 0.7500 0.7966 0.7296
Sc 0.7500 0.7162 0.2487
Sc 0.2500 0.9026 0.5353
Sc 0.7500 0.0974 0.4647
Sc 0.7500 0.3615 0.0082
Sc 0.7500 0.9302 0.0867
Sc 0.2500 0.6385 0.9918
Sc 0.2500 0.5478 0.4100
Sc 0.7500 0.4522 0.5900
Sc 0.2500 0.0698 0.9133
Sb 0.2500 0.9214 0.2747
Sb 0.7500 0.0786 0.7253

Properties
**Total magnetic moment**: 0.0000 μB per atom
**ρ**: 4.65 g/cm3
**Raw formation energy**: -1.14 eV per atom

[10]
Density functional theory data (PBE-GGA) for a relaxed ScSb2Se crystal.

abc: 5.2161 5.2161 3.5657
angles: 90.00 90.00 103.17
Atoms (fractional coordinates):
Sc 0.5000 0.0000 0.5000
Sb 0.5000 0.5000 0.0000
Sb 0.0000 0.0000 0.0000
Se 0.0000 0.5000 0.5000

Properties
**Total magnetic moment**: 0.0000 μB per atom
**ρ**: 6.46 g/cm3
**Raw formation energy**: -0.27 eV per atom

[11]
Density functional theory data (PBE-GGA) for a relaxed ScSbSe3 crystal.

abc: 5.1285 5.1285 5.1285
angles: 90.00 90.00 90.00
Atoms (fractional coordinates):
Se 0.0000 0.0000 0.5000
Se 0.0000 0.5000 0.0000
Se 0.5000 0.0000 0.0000
Sc 0.0000 0.0000 0.0000
Sb 0.5000 0.5000 0.5000

Properties
**Total magnetic moment**: 0.0000 μB per atom
**ρ**: 4.97 g/cm3
**E above lowest polymorph**: 3.14 eV/f.u.
**Raw formation energy**: -0.34 eV per atom

[12]
Density functional theory data (PBE-GGA) for a relaxed Sc2Sb2Se crystal.

abc: 7.4092 7.4092 4.3238
angles: 90.00 90.00 90.00
Atoms (fractional coordinates):
Sb 0.8632 0.3632 0.5000
Sb 0.1368 0.6368 0.5000
Sb 0.3632 0.1368 0.5000
Sb 0.6368 0.8632 0.5000
Sc 0.3297 0.8297 0.0000
Sc 0.6703 0.1703 0.0000
Sc 0.8297 0.6703 0.0000
Sc 0.1703 0.3297 0.0000
Se 0.0000 0.0000 0.0000
Se 0.5000 0.5000 0.0000

Properties
**Total magnetic moment**: 0.0000 μB per atom
**ρ**: 5.77 g/cm3
**E above lowest polymorph**: 0.00 eV/f.u.
**Raw formation energy**: -0.84 eV per atom

[13]
Density functional theory data (PBE-GGA) for a relaxed Sc3SbSe2 crystal.

abc: 6.8834 6.8778 6.8778
angles: 119.86 99.57 99.57
Atoms (fractional coordinates):
Sb 0.7500 0.4218 0.5782
Sb 0.2500 0.5782 0.4218
Sc 0.5000 0.0000 0.5000
Sc 0.0000 0.5000 0.0000
Sc 0.0050 0.8589 0.6798
Sc 0.5050 0.6798 0.8589
Sc 0.4950 0.3202 0.1411
Sc 0.9950 0.1411 0.3202
Se 0.2500 0.2551 0.7449
Se 0.7500 0.7449 0.2551
Se 0.2500 0.9159 0.0841
Se 0.7500 0.0841 0.9159

Properties
**Total magnetic moment**: 0.0000 μB per atom
**ρ**: 5.17 g/cm3
**E above lowest polymorph**: 0.00 eV/f.u.
**Raw formation energy**: -1.37 eV per atom

[14]
Density functional theory data (PBE-GGA) for a relaxed ScSb2Se crystal.

abc: 4.1061 4.1298 6.8208
angles: 58.20 90.00 90.00
Atoms (fractional coordinates):
Sc 0.5000 0.2500 0.2500
Sb 0.0000 0.5640 0.4949
Sb 0.0000 0.9360 0.0051
Se 0.5000 0.7500 0.7500

Properties
**Total magnetic moment**: 0.0000 μB per atom
**ρ**: 6.21 g/cm3
**Raw formation energy**: -0.38 eV per atom

[15]
Density functional theory data (PBE-GGA) for a relaxed ScSb2Se crystal.

abc: 6.0805 6.0805 6.0805
angles: 138.76 138.76 59.74
Atoms (fractional coordinates):
Sb 0.2500 0.7500 0.5000
Sb 0.0000 0.0000 0.0000
Sc 0.5000 0.5000 0.0000
Se 0.7500 0.2500 0.5000

Properties
**Total magnetic moment**: 0.0000 μB per atom
**ρ**: 6.31 g/cm3
**Raw formation energy**: -0.29 eV per atom

[16]
Density functional theory data (PBE-GGA) for a relaxed Sc2Sb2Se crystal.

abc: 4.1473 4.1473 7.9113
angles: 74.80 74.80 90.00
Last column: magnetic moment on the atom in μB.
Atoms (fractional coordinates):
Se 0.0000 0.0000 0.0000  -0.01
Sc 0.6024 0.6024 0.7951  0.14
Sc 0.3976 0.3976 0.2049  0.14
Sb 0.2500 0.7500 0.5000  -0.01
Sb 0.7500 0.2500 0.5000  -0.01

Properties
**Total magnetic moment**: 0.0718 μB per atom
**ρ**: 5.42 g/cm3
**E above lowest polymorph**: 1.17 eV/f.u.
**Raw formation energy**: -0.60 eV per atom

[17]
Density functional theory data (PBE-GGA) for a relaxed ScSb4Se crystal.

abc: 6.1385 6.1385 6.1385
angles: 60.00 60.00 60.00
Atoms (fractional coordinates):
Sb 0.3738 0.8786 0.3738
Sb 0.8786 0.3738 0.3738
Sb 0.3738 0.3738 0.8786
Sb 0.3738 0.3738 0.3738
Se 0.0000 0.0000 0.0000
Sc 0.7500 0.7500 0.7500

Properties
**Total magnetic moment**: 0.0000 μB per atom
**ρ**: 6.20 g/cm3
**Raw formation energy**: 0.15 eV per atom

[18]
Density functional theory data (PBE-GGA) for a relaxed ScSb2Se crystal.

abc: 4.0680 5.3200 5.3480
angles: 71.20 90.00 90.00
Atoms (fractional coordinates):
Se 0.5000 0.7143 0.7131
Sb 0.0000 0.0124 0.0160
Sb 0.5000 0.2557 0.2509
Sc 0.0000 0.5176 0.5200

Properties
**Total magnetic moment**: 0.0000 μB per atom
**ρ**: 5.57 g/cm3
**Raw formation energy**: -0.47 eV per atom

[19]
Density functional theory data (PBE-GGA) for a relaxed ScSbSe3 crystal.

abc: 5.2567 5.2567 5.2567
angles: 90.00 90.00 90.00
Last column: magnetic moment on the atom in μB.
Atoms (fractional coordinates):
Se 0.0000 0.5000 0.0000  -0.04
Se 0.5000 0.0000 0.0000  -0.04
Se 0.0000 0.0000 0.5000  -0.03
Sc 0.5000 0.5000 0.5000  0.26
Sb 0.0000 0.0000 0.0000  -0.01

Properties
**Total magnetic moment**: 0.0363 μB per atom
**ρ**: 4.61 g/cm3
**E above lowest polymorph**: 5.07 eV/f.u.
**Raw formation energy**: 0.04 eV per atom

[20]
Density functional theory data (PBE-GGA) for a relaxed ScSb2Se crystal.

abc: 8.6473 8.6473 8.6473
angles: 24.69 24.69 24.69
Atoms (fractional coordinates):
Sc 0.2500 0.2500 0.2500
Sb 0.0018 0.0018 0.0018
Sb 0.4982 0.4982 0.4982
Se 0.7500 0.7500 0.7500

Properties
**Total magnetic moment**: 0.0000 μB per atom
**ρ**: 6.15 g/cm3
**Raw formation energy**: -0.13 eV per atom